Record 1
VASP calculation (PBE) on Pr2Zn3Cu4 after structural relaxation.

Geometry as CIF:
```
data_Pr2Zn3Cu4
_chemical_formula_sum 'Pr8 Zn12 Cu16'
_cell_length_a 5.620
_cell_length_b 15.366
_cell_length_c 7.540
_cell_angle_alpha 90.00
_cell_angle_beta 90.00
_cell_angle_gamma 90.00
_space_group_name_H-M_alt 'C m c e'
_space_group_IT_number 64
_space_group_name_Hall '-C 2ac 2'
loop_
_atom_site_label
_atom_site_fract_x
_atom_site_fract_y
_atom_site_fract_z
_atom_site_occupancy
Pr1 0.000 0.113 0.085 1
Zn1 0.000 0.000 0.500 1
Zn2 0.250 0.225 0.750 1
Cu1 0.000 0.177 0.486 1
Cu2 0.250 0.060 0.750 1
```

=====

Record 2
VASP calculation (PBE) on Pr4ZnCu2 after structural relaxation.

Geometry as CIF:
```
data_Pr4ZnCu2
_chemical_formula_sum 'Pr12 Zn3 Cu6'
_cell_length_a 5.1255
_cell_length_b 5.1255
_cell_length_c 24.8440
_cell_angle_alpha 90.00
_cell_angle_beta 90.00
_cell_angle_gamma 120.00
_space_group_name_H-M_alt 'R -3 m'
_space_group_IT_number 166
_space_group_name_Hall '-R 3 2"'
loop_
_atom_site_label
_atom_site_fract_x
_atom_site_fract_y
_atom_site_fract_z
_atom_site_occupancy
Pr1 0.0000 0.0000 0.1207 1
Pr2 0.0000 0.0000 0.3726 1
Zn1 0.0000 0.0000 0.5000 1
Cu1 0.0000 0.0000 0.2456 1
```

=====

Record 3
VASP calculation (PBE) on PrZn4Cu8 after structural relaxation.

Geometry as CIF:
```
data_PrZn4Cu8
_chemical_formula_sum 'Pr2 Zn8 Cu16'
_cell_length_a 8.736
_cell_length_b 8.736
_cell_length_c 4.931
_cell_angle_alpha 90.00
_cell_angle_beta 90.00
_cell_angle_gamma 90.00
_space_group_name_H-M_alt 'I 4/m m m'
_space_group_IT_number 139
_space_group_name_Hall '-I 4 2'
loop_
_atom_site_label
_atom_site_fract_x
_atom_site_fract_y
_atom_site_fract_z
_atom_site_occupancy
Pr1 0.000 0.000 0.000 1
Zn1 0.250 0.250 0.250 1
Cu1 0.000 0.227 0.500 1
Cu2 0.000 0.358 0.000 1
```

=====

Record 4
VASP calculation (PBE) on Pr3Zn3Cu after structural relaxation.

Geometry as CIF:
```
data_Pr3Zn3Cu
_chemical_formula_sum 'Pr6 Zn6 Cu2'
_cell_length_a 3.699
_cell_length_b 4.542
_cell_length_c 19.937
_cell_angle_alpha 90.00
_cell_angle_beta 90.00
_cell_angle_gamma 90.00
_space_group_name_H-M_alt 'I m m 2'
_space_group_IT_number 44
_space_group_name_Hall 'I 2 -2'
loop_
_atom_site_label
_atom_site_fract_x
_atom_site_fract_y
_atom_site_fract_z
_atom_site_occupancy
Pr1 0.000 0.000 0.000 1
Pr2 0.000 0.000 0.378 1
Pr3 0.000 0.500 0.194 1
Zn1 0.000 0.000 0.555 1
Zn2 0.000 0.000 0.826 1
Zn3 0.000 0.500 0.628 1
Cu1 0.000 0.500 0.756 1
```

=====

Record 5
VASP calculation (PBE) on PrZrZnCu after structural relaxation.

Geometry as CIF:
```
data_PrZrZnCu
_chemical_formula_sum 'Pr4 Zr4 Zn4 Cu4'
_cell_length_a 6.984
_cell_length_b 6.984
_cell_length_c 6.984
_cell_angle_alpha 90.00
_cell_angle_beta 90.00
_cell_angle_gamma 90.00
_space_group_name_H-M_alt 'F -4 3 m'
_space_group_IT_number 216
_space_group_name_Hall 'F -4 2 3'
loop_
_atom_site_label
_atom_site_fract_x
_atom_site_fract_y
_atom_site_fract_z
_atom_site_occupancy
Pr1 0.000 0.000 0.000 1
Zr1 0.000 0.000 0.500 1
Zn1 0.250 0.250 0.750 1
Cu1 0.250 0.250 0.250 1
```

=====

Record 6
VASP calculation (PBE) on PrZrCu10 after structural relaxation.

Geometry as CIF:
```
data_PrZrCu10
_chemical_formula_sum 'Pr1 Zr1 Cu10'
_cell_length_a 4.100
_cell_length_b 5.023
_cell_length_c 8.686
_cell_angle_alpha 90.00
_cell_angle_beta 90.00
_cell_angle_gamma 90.00
_space_group_name_H-M_alt 'P m m m'
_space_group_IT_number 47
_space_group_name_Hall '-P 2 2'
loop_
_atom_site_label
_atom_site_fract_x
_atom_site_fract_y
_atom_site_fract_z
_atom_site_occupancy
Pr1 0.000 0.000 0.000 1
Zr1 0.000 0.500 0.500 1
Cu1 0.000 0.000 0.343 1
Cu2 0.000 0.500 0.178 1
Cu3 0.500 0.000 0.500 1
Cu4 0.500 0.256 0.260 1
Cu5 0.500 0.500 0.000 1
```

=====

Record 7
VASP calculation (PBE) on PrZrCu2 after structural relaxation.

Geometry as CIF:
```
data_PrZrCu2
_chemical_formula_sum 'Pr3 Zr3 Cu6'
_cell_length_a 4.5330
_cell_length_b 4.5330
_cell_length_c 14.9799
_cell_angle_alpha 90.00
_cell_angle_beta 90.00
_cell_angle_gamma 120.00
_space_group_name_H-M_alt 'R -3 m'
_space_group_IT_number 166
_space_group_name_Hall '-R 3 2"'
loop_
_atom_site_label
_atom_site_fract_x
_atom_site_fract_y
_atom_site_fract_z
_atom_site_occupancy
Pr1 0.0000 0.0000 0.0000 1
Zr1 0.0000 0.0000 0.5000 1
Cu1 0.0000 0.0000 0.2012 1
```

Calculated values
Excess energy over the best structure of this formula in the dataset = 55.9 meV/atom

=====

Record 8
VASP calculation (PBE) on PrZrCu2 after structural relaxation.

Geometry as CIF:
```
data_PrZrCu2
_chemical_formula_sum 'Pr4 Zr4 Cu8'
_cell_length_a 6.902
_cell_length_b 6.902
_cell_length_c 6.902
_cell_angle_alpha 90.00
_cell_angle_beta 90.00
_cell_angle_gamma 90.00
_space_group_name_H-M_alt 'F m -3 m'
_space_group_IT_number 225
_space_group_name_Hall '-F 4 2 3'
loop_
_atom_site_label
_atom_site_fract_x
_atom_site_fract_y
_atom_site_fract_z
_atom_site_occupancy
Pr1 0.000 0.000 0.000 1
Zr1 0.000 0.000 0.500 1
Cu1 0.250 0.250 0.250 1
```

Calculated values
Excess energy over the best structure of this formula in the dataset = 99.8 meV/atom

=====

Record 9
VASP calculation (PBE) on PrZrCu2 after structural relaxation.

Geometry as CIF:
```
data_PrZrCu2
_chemical_formula_sum 'Pr1 Zr1 Cu2'
_cell_length_a 3.413
_cell_length_b 3.413
_cell_length_c 7.030
_cell_angle_alpha 90.00
_cell_angle_beta 90.00
_cell_angle_gamma 90.00
_space_group_name_H-M_alt 'P 4/m m m'
_space_group_IT_number 123
_space_group_name_Hall '-P 4 2'
loop_
_atom_site_label
_atom_site_fract_x
_atom_site_fract_y
_atom_site_fract_z
_atom_site_occupancy
Pr1 0.000 0.000 0.000 1
Zr1 0.000 0.000 0.500 1
Cu1 0.500 0.500 0.301 1
```

Calculated values
Excess energy over the best structure of this formula in the dataset = 0.0 meV/atom

=====

Record 10
VASP calculation (PBE) on PrZrCu2 after structural relaxation.

Geometry as CIF:
```
data_PrZrCu2
_chemical_formula_sum 'Pr1 Zr1 Cu2'
_cell_length_a 4.895
_cell_length_b 4.895
_cell_length_c 3.393
_cell_angle_alpha 90.00
_cell_angle_beta 90.00
_cell_angle_gamma 90.00
_space_group_name_H-M_alt 'P 4/m m m'
_space_group_IT_number 123
_space_group_name_Hall '-P 4 2'
loop_
_atom_site_label
_atom_site_fract_x
_atom_site_fract_y
_atom_site_fract_z
_atom_site_occupancy
Pr1 0.000 0.000 0.000 1
Zr1 0.500 0.500 0.000 1
Cu1 0.000 0.500 0.500 1
```

Calculated values
Excess energy over the best structure of this formula in the dataset = 78.2 meV/atom

=====

Record 11
VASP calculation (PBE) on PrZrCu4 after structural relaxation.

Geometry as CIF:
```
data_PrZrCu4
_chemical_formula_sum 'Pr4 Zr4 Cu16'
_cell_length_a 7.390
_cell_length_b 7.390
_cell_length_c 7.390
_cell_angle_alpha 90.00
_cell_angle_beta 90.00
_cell_angle_gamma 90.00
_space_group_name_H-M_alt 'F -4 3 m'
_space_group_IT_number 216
_space_group_name_Hall 'F -4 2 3'
loop_
_atom_site_label
_atom_site_fract_x
_atom_site_fract_y
_atom_site_fract_z
_atom_site_occupancy
Pr1 0.000 0.000 0.000 1
Zr1 0.250 0.250 0.750 1
Cu1 0.124 0.124 0.376 1
```

=====

Record 12
VASP calculation (PBE) on Cu5Pt2 after structural relaxation.

Geometry as CIF:
```
data_Cu5Pt2
_chemical_formula_sum 'Cu20 Pt8'
_cell_length_a 11.867
_cell_length_b 4.526
_cell_length_c 6.867
_cell_angle_alpha 90.00
_cell_angle_beta 92.68
_cell_angle_gamma 90.00
_space_group_name_H-M_alt 'C 1 2/c 1'
_space_group_IT_number 15
_space_group_name_Hall '-C 2yc'
loop_
_atom_site_label
_atom_site_fract_x
_atom_site_fract_y
_atom_site_fract_z
_atom_site_occupancy
Cu1 0.000 0.173 0.250 1
Cu2 0.147 0.170 0.963 1
Cu3 0.215 0.332 0.317 1
Pt1 0.076 0.324 0.605 1
```

Calculated values
Excess energy over the best structure of this formula in the dataset = 6.1 meV/atom

=====

Let's list energy of formation in order: -174; -67; -108; -262; -66; -96; -34; 10; -90; -12; 1; -111 meV/atom.
Let's list density in order: 7.47; 6.66; 8.04; 6.77; 7.04; 8.05; 6.71; 7.26; 7.28; 7.34; 8.00; 12.76 g/cm³.